Compound: K3ErU2O9
Source: Alexandria
Functional: PBE
Structure: optimized geometry

Cell and atoms, written as CIF:
```
data_K3ErU2O9
_chemical_formula_sum 'K3 Er1 U2 O9'
_cell_length_a 6.0887
_cell_length_b 6.0887
_cell_length_c 7.4571
_cell_angle_alpha 90.00
_cell_angle_beta 90.00
_cell_angle_gamma 120.00
_space_group_name_H-M_alt 'P 1'
_space_group_IT_number 1
loop_
_space_group_symop_operation_xyz
'x,y,z'
loop_
_atom_site_label
_atom_site_fract_x
_atom_site_fract_y
_atom_site_fract_z
_atom_site_occupancy
K1 0.0000 0.0000 0.0000 1
K2 0.3333 0.6667 0.6607 1
K3 0.6667 0.3333 0.3393 1
Er1 0.0000 0.0000 0.5000 1
U1 0.3333 0.6667 0.1692 1
U2 0.6667 0.3333 0.8308 1
O1 0.0000 0.5000 0.0000 1
O2 0.1737 0.3473 0.3243 1
O3 0.1737 0.8263 0.3243 1
O4 0.3473 0.1737 0.6757 1
O5 0.5000 0.0000 0.0000 1
O6 0.5000 0.5000 0.0000 1
O7 0.6527 0.8263 0.3243 1
O8 0.8263 0.1737 0.6757 1
O9 0.8263 0.6527 0.6757 1
```

Calculated values
The magnetic moment is 0.000 μB/atom. As for the formation energy without anion corrections: -2.91 eV/atom. The density of states at the Fermi level is 0.00 states/eV/cell. The space group is No. 164. For the density, the calculation gives 6.274 g/cm³.